Record 1
Here is an optimized crystal structure of Fe2Pd7Au2 from Alexandria. Energies are from PBE.

Geometry as CIF:
```
data_Fe2Pd7Au2
_chemical_formula_sum 'Fe2 Pd7 Au2'
_cell_length_a 7.0209
_cell_length_b 7.0209
_cell_length_c 7.0209
_cell_angle_alpha 143.12
_cell_angle_beta 72.01
_cell_angle_gamma 120.59
_space_group_name_H-M_alt 'P 1'
_space_group_IT_number 1
loop_
_space_group_symop_operation_xyz
'x,y,z'
loop_
_atom_site_label
_atom_site_type_symbol
_atom_site_fract_x
_atom_site_fract_y
_atom_site_fract_z
Fe1 Fe 0.0000 0.0000 0.0000
Fe2 Fe 0.6626 0.1626 0.5000
Pd1 Pd 0.0994 0.4734 0.6260
Pd2 Pd 0.2409 0.8779 0.3630
Pd3 Pd 0.3732 0.3732 0.0000
Pd4 Pd 0.5149 0.8779 0.6370
Pd5 Pd 0.5650 0.6990 0.8661
Pd6 Pd 0.8329 0.6990 0.1339
Pd7 Pd 0.8475 0.4734 0.3740
Au1 Au 0.3854 0.1740 0.2114
Au2 Au 0.9625 0.1740 0.7886
```

## Properties
Theoretical density, g/cm³: 11.83
V, Å³/atom: 16.0
Energy relative to the lowest polymorph listed for this composition, meV/atom: 0
Energy of formation from the pure elements, eV/atom: 0.0081
E_tot, eV/f.u.: -59.74

Record 2
Here is an optimized crystal structure of Fe3Pd12Au from Alexandria. Energies are from PBE.

Geometry as CIF:
```
data_Fe3Pd12Au
_chemical_formula_sum 'Fe3 Pd12 Au1'
_cell_length_a 3.9284
_cell_length_b 3.9284
_cell_length_c 15.6155
_cell_angle_alpha 90.00
_cell_angle_beta 90.00
_cell_angle_gamma 90.00
_space_group_name_H-M_alt 'P 1'
_space_group_IT_number 1
loop_
_space_group_symop_operation_xyz
'x,y,z'
loop_
_atom_site_label
_atom_site_type_symbol
_atom_site_fract_x
_atom_site_fract_y
_atom_site_fract_z
Fe1 Fe 0.0000 0.0000 0.0000
Fe2 Fe 0.0000 0.0000 0.2491
Fe3 Fe 0.0000 0.0000 0.7509
Pd1 Pd 0.0000 0.5000 0.1224
Pd2 Pd 0.0000 0.5000 0.3665
Pd3 Pd 0.0000 0.5000 0.6335
Pd4 Pd 0.0000 0.5000 0.8776
Pd5 Pd 0.5000 0.0000 0.1224
Pd6 Pd 0.5000 0.0000 0.3665
Pd7 Pd 0.5000 0.0000 0.6335
Pd8 Pd 0.5000 0.0000 0.8776
Pd9 Pd 0.5000 0.5000 0.0000
Pd10 Pd 0.5000 0.5000 0.2447
Pd11 Pd 0.5000 0.5000 0.5000
Pd12 Pd 0.5000 0.5000 0.7553
Au1 Au 0.0000 0.0000 0.5000
```

## Properties
Theoretical density, g/cm³: 11.31
V, Å³/atom: 15.1
Energy of formation from the pure elements, eV/atom: -0.0893
E_tot, eV/f.u.: -92.41

Record 3
Here is an optimized crystal structure of FePd3Au2 from Alexandria. Energies are from PBE.

Geometry as CIF:
```
data_FePd3Au2
_chemical_formula_sum 'Fe2 Pd6 Au4'
_cell_length_a 7.0455
_cell_length_b 7.0455
_cell_length_c 5.5996
_cell_angle_alpha 101.10
_cell_angle_beta 101.10
_cell_angle_gamma 46.35
_space_group_name_H-M_alt 'P 1'
_space_group_IT_number 1
loop_
_space_group_symop_operation_xyz
'x,y,z'
loop_
_atom_site_label
_atom_site_type_symbol
_atom_site_fract_x
_atom_site_fract_y
_atom_site_fract_z
Fe1 Fe 0.2431 0.7569 0.7500
Fe2 Fe 0.7569 0.2431 0.2500
Pd1 Pd 0.1336 0.1400 0.5655
Pd2 Pd 0.1400 0.1336 0.0655
Pd3 Pd 0.2956 0.7044 0.2500
Pd4 Pd 0.7044 0.2956 0.7500
Pd5 Pd 0.8600 0.8664 0.9345
Pd6 Pd 0.8664 0.8600 0.4345
Au1 Au 0.3247 0.3335 0.9118
Au2 Au 0.3335 0.3247 0.4118
Au3 Au 0.6665 0.6753 0.5882
Au4 Au 0.6753 0.6665 0.0882
```

## Properties
Theoretical density, g/cm³: 12.99
V, Å³/atom: 16.4
Energy relative to the lowest polymorph listed for this composition, meV/atom: 12
Energy of formation from the pure elements, eV/atom: -0.0095
E_tot, eV/f.u.: -30.65

Record 4
Here is an optimized crystal structure of Fe3Pd4Au2 from Alexandria. Energies are from PBE.

Geometry as CIF:
```
data_Fe3Pd4Au2
_chemical_formula_sum 'Fe3 Pd4 Au2'
_cell_length_a 7.7056
_cell_length_b 7.7056
_cell_length_c 6.6169
_cell_angle_alpha 97.54
_cell_angle_beta 97.54
_cell_angle_gamma 20.68
_space_group_name_H-M_alt 'P 1'
_space_group_IT_number 1
loop_
_space_group_symop_operation_xyz
'x,y,z'
loop_
_atom_site_label
_atom_site_type_symbol
_atom_site_fract_x
_atom_site_fract_y
_atom_site_fract_z
Fe1 Fe 0.0000 0.0000 0.0000
Fe2 Fe 0.1076 0.1076 0.3754
Fe3 Fe 0.8924 0.8924 0.6246
Pd1 Pd 0.2824 0.2824 0.3450
Pd2 Pd 0.4589 0.4589 0.3094
Pd3 Pd 0.5411 0.5411 0.6906
Pd4 Pd 0.7176 0.7176 0.6550
Au1 Au 0.3391 0.3391 0.9512
Au2 Au 0.6609 0.6609 0.0488
```

## Properties
Theoretical density, g/cm³: 11.92
V, Å³/atom: 15.3
Energy of formation from the pure elements, eV/atom: 0.0183
E_tot, eV/f.u.: -52.55

Record 5
Here is an optimized crystal structure of Fe2Pd3Au from Alexandria. Energies are from PBE.

Geometry as CIF:
```
data_Fe2Pd3Au
_chemical_formula_sum 'Fe2 Pd3 Au1'
_cell_length_a 6.1914
_cell_length_b 6.1914
_cell_length_c 3.8540
_cell_angle_alpha 90.00
_cell_angle_beta 90.00
_cell_angle_gamma 142.72
_space_group_name_H-M_alt 'P 1'
_space_group_IT_number 1
loop_
_space_group_symop_operation_xyz
'x,y,z'
loop_
_atom_site_label
_atom_site_type_symbol
_atom_site_fract_x
_atom_site_fract_y
_atom_site_fract_z
Fe1 Fe 0.1732 0.8268 0.0000
Fe2 Fe 0.8268 0.1732 0.0000
Pd1 Pd 0.0000 0.0000 0.5000
Pd2 Pd 0.3287 0.6713 0.5000
Pd3 Pd 0.6713 0.3287 0.5000
Au1 Au 0.5000 0.5000 0.0000
```

## Properties
Theoretical density, g/cm³: 11.65
V, Å³/atom: 14.9
Energy relative to the lowest polymorph listed for this composition, meV/atom: 19
Energy of formation from the pure elements, eV/atom: -0.0531
E_tot, eV/f.u.: -36.10

Record 6
Here is an optimized crystal structure of Fe3Pd8Au2 from Alexandria. Energies are from PBE.

Geometry as CIF:
```
data_Fe3Pd8Au2
_chemical_formula_sum 'Fe3 Pd8 Au2'
_cell_length_a 6.7540
_cell_length_b 6.7540
_cell_length_c 7.7898
_cell_angle_alpha 121.12
_cell_angle_beta 121.12
_cell_angle_gamma 45.53
_space_group_name_H-M_alt 'P 1'
_space_group_IT_number 1
loop_
_space_group_symop_operation_xyz
'x,y,z'
loop_
_atom_site_label
_atom_site_type_symbol
_atom_site_fract_x
_atom_site_fract_y
_atom_site_fract_z
Fe1 Fe 0.0000 0.0000 0.0000
Fe2 Fe 0.2633 0.7367 0.5000
Fe3 Fe 0.7367 0.2633 0.5000
Pd1 Pd 0.1288 0.1288 0.8261
Pd2 Pd 0.1289 0.6208 0.6594
Pd3 Pd 0.2837 0.2837 0.2507
Pd4 Pd 0.3792 0.8711 0.3406
Pd5 Pd 0.6208 0.1289 0.6594
Pd6 Pd 0.7163 0.7163 0.7493
Pd7 Pd 0.8711 0.3792 0.3406
Pd8 Pd 0.8712 0.8712 0.1739
Au1 Au 0.3909 0.3909 0.0134
Au2 Au 0.6091 0.6091 0.9866
```

## Properties
Theoretical density, g/cm³: 11.17
V, Å³/atom: 16.2
Energy relative to the lowest polymorph listed for this composition, meV/atom: 44
Energy of formation from the pure elements, eV/atom: 0.1147
E_tot, eV/f.u.: -71.99